a.
Material: CaPuTe2
Method: DFT, GGA-PBE
State: optimized geometry

The structure in CIF format:
```
data_CaPuTe2
_cell_length_a 4.4774
_cell_length_b 4.4774
_cell_length_c 22.0383
_cell_angle_alpha 90.00
_cell_angle_beta 90.00
_cell_angle_gamma 120.00
_symmetry_space_group_name_H-M 'P 1'
_symmetry_Int_Tables_number 1
loop_
_symmetry_equiv_pos_as_xyz
'x,y,z'
loop_
_atom_site_label
_atom_site_fract_x
_atom_site_fract_y
_atom_site_fract_z
Ca1 0.3333 0.6667 0.6680
Ca2 0.6667 0.3333 0.3320
Ca3 0.0000 0.0000 0.5000
Pu1 0.6667 0.3333 0.8365
Pu2 0.3333 0.6667 0.1635
Pu3 0.0000 0.0000 0.0000
Te1 0.3333 0.6667 0.9179
Te2 0.6667 0.3333 0.0821
Te3 0.3333 0.6667 0.4157
Te4 0.6667 0.3333 0.5843
Te5 0.0000 0.0000 0.7525
Te6 0.0000 0.0000 0.2475
```

Calculated values
* DOS(E_F): 2.974 states/eV per atom
* total magnetic moment: 1.481 μB per atom



b.
Material: CaPuTe2
Method: DFT, GGA-PBE
State: optimized geometry

The structure in CIF format:
```
data_CaPuTe2
_cell_length_a 3.8329
_cell_length_b 5.4997
_cell_length_c 5.4997
_cell_angle_alpha 90.00
_cell_angle_beta 90.00
_cell_angle_gamma 90.00
_symmetry_space_group_name_H-M 'P 1'
_symmetry_Int_Tables_number 1
loop_
_symmetry_equiv_pos_as_xyz
'x,y,z'
loop_
_atom_site_label
_atom_site_fract_x
_atom_site_fract_y
_atom_site_fract_z
Ca1 0.5000 0.0000 0.0000
Te1 0.0000 0.0000 0.5000
Te2 0.0000 0.5000 0.0000
Pu1 0.5000 0.5000 0.5000
```

Calculated values
* DOS(E_F): 2.390 states/eV per atom
* total magnetic moment: 1.488 μB per atom



c.
Material: CaPuTe2
Method: DFT, GGA-PBE
State: optimized geometry

The structure in CIF format:
```
data_CaPuTe2
_cell_length_a 4.4764
_cell_length_b 4.4764
_cell_length_c 7.8059
_cell_angle_alpha 73.34
_cell_angle_beta 73.34
_cell_angle_gamma 60.00
_symmetry_space_group_name_H-M 'P 1'
_symmetry_Int_Tables_number 1
loop_
_symmetry_equiv_pos_as_xyz
'x,y,z'
loop_
_atom_site_label
_atom_site_fract_x
_atom_site_fract_y
_atom_site_fract_z
Ca1 0.5000 0.5000 0.5000
Pu1 0.0000 0.0000 0.0000
Te1 0.2502 0.2502 0.2494
Te2 0.7498 0.7498 0.7506
```

Calculated values
* DOS(E_F): 2.839 states/eV per atom
* total magnetic moment: 1.489 μB per atom



Which one sits at the top of the stability order? a does.



a.
Material: CaPu2Te4
Method: DFT, GGA-PBE
State: optimized geometry

The structure in CIF format:
```
data_CaPu2Te4
_cell_length_a 8.1568
_cell_length_b 8.1568
_cell_length_c 8.1568
_cell_angle_alpha 109.75
_cell_angle_beta 108.92
_cell_angle_gamma 109.75
_symmetry_space_group_name_H-M 'P 1'
_symmetry_Int_Tables_number 1
loop_
_symmetry_equiv_pos_as_xyz
'x,y,z'
loop_
_atom_site_label
_atom_site_fract_x
_atom_site_fract_y
_atom_site_fract_z
Ca1 0.7500 0.5000 0.2500
Ca2 0.0000 0.0000 0.0000
Te1 0.7700 0.2508 0.8697
Te2 0.9800 0.5997 0.7308
Te3 0.6189 0.7492 0.5192
Te4 0.1311 0.4003 0.3803
Te5 0.4808 0.0997 0.2300
Te6 0.6197 0.7508 0.0200
Te7 0.2692 0.2492 0.8689
Te8 0.1303 0.9003 0.3811
Pu1 0.3750 0.8771 0.7521
Pu2 0.5021 0.3771 0.6250
Pu3 0.8750 0.1229 0.4979
Pu4 0.2479 0.6229 0.1250
```

Calculated values
* DOS(E_F): 2.945 states/eV per atom
* total magnetic moment: 1.428 μB per atom



b.
Material: CaPu2Te4
Method: DFT, GGA-PBE
State: optimized geometry

The structure in CIF format:
```
data_CaPu2Te4
_cell_length_a 4.3921
_cell_length_b 7.5059
_cell_length_c 15.1951
_cell_angle_alpha 90.00
_cell_angle_beta 90.00
_cell_angle_gamma 107.01
_symmetry_space_group_name_H-M 'P 1'
_symmetry_Int_Tables_number 1
loop_
_symmetry_equiv_pos_as_xyz
'x,y,z'
loop_
_atom_site_label
_atom_site_fract_x
_atom_site_fract_y
_atom_site_fract_z
Ca1 0.6143 0.2286 0.7500
Ca2 0.3857 0.7714 0.2500
Pu1 0.1349 0.2697 0.4323
Pu2 0.8651 0.7303 0.9323
Pu3 0.1349 0.2697 0.0677
Pu4 0.8651 0.7303 0.5677
Te1 0.7761 0.5521 0.1210
Te2 0.7761 0.5521 0.3790
Te3 0.2239 0.4479 0.8790
Te4 0.2239 0.4479 0.6210
Te5 0.9561 0.9122 0.7500
Te6 0.0439 0.0878 0.2500
Te7 0.5000 0.0000 0.0000
Te8 0.5000 0.0000 0.5000
```

Calculated values
* DOS(E_F): 3.679 states/eV per atom
* total magnetic moment: 1.429 μB per atom



Which one sits at the top of the stability order? a does.



a.
Material: CaPuTl
Method: DFT, GGA-PBE
State: optimized geometry

The structure in CIF format:
```
data_CaPuTl
_cell_length_a 3.4525
_cell_length_b 11.3212
_cell_length_c 6.7970
_cell_angle_alpha 46.68
_cell_angle_beta 90.00
_cell_angle_gamma 98.77
_symmetry_space_group_name_H-M 'P 1'
_symmetry_Int_Tables_number 1
loop_
_symmetry_equiv_pos_as_xyz
'x,y,z'
loop_
_atom_site_label
_atom_site_fract_x
_atom_site_fract_y
_atom_site_fract_z
Tl1 0.2472 0.4943 0.7348
Tl2 0.7528 0.5057 0.2652
Pu1 0.4155 0.8310 0.0628
Pu2 0.5845 0.1690 0.9372
Ca1 0.0998 0.1996 0.4066
Ca2 0.9002 0.8004 0.5934
```

Calculated values
* DOS(E_F): 3.430 states/eV per atom
* total magnetic moment: 2.167 μB per atom



b.
Material: CaPuTl
Method: DFT, GGA-PBE
State: optimized geometry

The structure in CIF format:
```
data_CaPuTl
_cell_length_a 3.4463
_cell_length_b 5.4555
_cell_length_c 5.4555
_cell_angle_alpha 120.00
_cell_angle_beta 90.00
_cell_angle_gamma 90.00
_symmetry_space_group_name_H-M 'P 1'
_symmetry_Int_Tables_number 1
loop_
_symmetry_equiv_pos_as_xyz
'x,y,z'
loop_
_atom_site_label
_atom_site_fract_x
_atom_site_fract_y
_atom_site_fract_z
Tl1 0.0070 0.0000 0.0000
Ca1 0.6989 0.3333 0.6667
Pu1 0.2941 0.6667 0.3333
```

Calculated values
* DOS(E_F): 3.155 states/eV per atom
* total magnetic moment: 1.996 μB per atom



Which one sits at the top of the stability order? b does.



a.
Material: CaTm2Pu
Method: DFT, GGA-PBE
State: optimized geometry

The structure in CIF format:
```
data_CaTm2Pu
_cell_length_a 3.5284
_cell_length_b 3.5284
_cell_length_c 11.8631
_cell_angle_alpha 81.45
_cell_angle_beta 81.45
_cell_angle_gamma 60.00
_symmetry_space_group_name_H-M 'P 1'
_symmetry_Int_Tables_number 1
loop_
_symmetry_equiv_pos_as_xyz
'x,y,z'
loop_
_atom_site_label
_atom_site_fract_x
_atom_site_fract_y
_atom_site_fract_z
Ca1 0.5005 0.5005 0.4986
Tm1 0.0779 0.0779 0.7662
Tm2 0.2553 0.2553 0.2340
Pu1 0.6663 0.6663 0.0011
```

Calculated values
* DOS(E_F): 3.062 states/eV per atom
* total magnetic moment: 1.591 μB per atom



b.
Material: CaTm2Pu
Method: DFT, GGA-PBE
State: optimized geometry

The structure in CIF format:
```
data_CaTm2Pu
_cell_length_a 3.4574
_cell_length_b 3.4574
_cell_length_c 12.4309
_cell_angle_alpha 82.01
_cell_angle_beta 82.01
_cell_angle_gamma 60.00
_symmetry_space_group_name_H-M 'P 1'
_symmetry_Int_Tables_number 1
loop_
_symmetry_equiv_pos_as_xyz
'x,y,z'
loop_
_atom_site_label
_atom_site_fract_x
_atom_site_fract_y
_atom_site_fract_z
Ca1 0.0000 0.0000 0.0000
Tm1 0.0918 0.0918 0.7247
Tm2 0.9082 0.9082 0.2753
Pu1 0.5000 0.5000 0.5000
```

Calculated values
* DOS(E_F): 3.077 states/eV per atom
* total magnetic moment: 1.487 μB per atom



Which one sits at the top of the stability order? a does.



a.
Material: CaYPu
Method: DFT, GGA-PBE
State: optimized geometry

The structure in CIF format:
```
data_CaYPu
_cell_length_a 4.4592
_cell_length_b 5.3683
_cell_length_c 8.9023
_cell_angle_alpha 107.55
_cell_angle_beta 104.50
_cell_angle_gamma 90.00
_symmetry_space_group_name_H-M 'P 1'
_symmetry_Int_Tables_number 1
loop_
_symmetry_equiv_pos_as_xyz
'x,y,z'
loop_
_atom_site_label
_atom_site_fract_x
_atom_site_fract_y
_atom_site_fract_z
Ca1 0.6049 0.1049 0.2098
Ca2 0.3951 0.8951 0.7902
Pu1 0.7505 0.5000 0.0000
Pu2 0.2495 0.5000 0.0000
Y1 0.1797 0.6797 0.3594
Y2 0.8203 0.3203 0.6406
```

Calculated values
* DOS(E_F): 2.114 states/eV per atom
* total magnetic moment: 0.413 μB per atom



b.
Material: CaYPu
Method: DFT, GGA-PBE
State: optimized geometry

The structure in CIF format:
```
data_CaYPu
_cell_length_a 3.5359
_cell_length_b 3.5359
_cell_length_c 8.3067
_cell_angle_alpha 102.29
_cell_angle_beta 102.29
_cell_angle_gamma 90.00
_symmetry_space_group_name_H-M 'P 1'
_symmetry_Int_Tables_number 1
loop_
_symmetry_equiv_pos_as_xyz
'x,y,z'
loop_
_atom_site_label
_atom_site_fract_x
_atom_site_fract_y
_atom_site_fract_z
Y1 0.3238 0.3238 0.6476
Ca1 0.0031 0.0031 0.0061
Pu1 0.6731 0.6731 0.3463
```

Calculated values
* DOS(E_F): 3.373 states/eV per atom
* total magnetic moment: 2.214 μB per atom



Which one sits at the top of the stability order? b does.



a.
Material: Rb2Ca
Method: DFT, GGA-PBE
State: optimized geometry

The structure in CIF format:
```
data_Rb2Ca
_cell_length_a 4.3769
_cell_length_b 4.3769
_cell_length_c 11.1585
_cell_angle_alpha 101.31
_cell_angle_beta 101.31
_cell_angle_gamma 90.00
_symmetry_space_group_name_H-M 'P 1'
_symmetry_Int_Tables_number 1
loop_
_symmetry_equiv_pos_as_xyz
'x,y,z'
loop_
_atom_site_label
_atom_site_fract_x
_atom_site_fract_y
_atom_site_fract_z
Ca1 0.0000 0.0000 0.0000
Rb1 0.6533 0.6533 0.3066
Rb2 0.3467 0.3467 0.6934
```

Calculated values
* DOS(E_F): 0.969 states/eV per atom
* total magnetic moment: 0.000 μB per atom



b.
Material: Rb2Ca
Method: DFT, GGA-PBE
State: optimized geometry

The structure in CIF format:
```
data_Rb2Ca
_cell_length_a 8.3212
_cell_length_b 8.3212
_cell_length_c 8.3212
_cell_angle_alpha 60.00
_cell_angle_beta 60.00
_cell_angle_gamma 60.00
_symmetry_space_group_name_H-M 'P 1'
_symmetry_Int_Tables_number 1
loop_
_symmetry_equiv_pos_as_xyz
'x,y,z'
loop_
_atom_site_label
_atom_site_fract_x
_atom_site_fract_y
_atom_site_fract_z
Ca1 0.0000 0.0000 0.0000
Ca2 0.2500 0.2500 0.2500
Rb1 0.1250 0.6250 0.6250
Rb2 0.6250 0.1250 0.6250
Rb3 0.6250 0.6250 0.6250
Rb4 0.6250 0.6250 0.1250
```

Calculated values
* DOS(E_F): 1.312 states/eV per atom
* total magnetic moment: 0.000 μB per atom



Which one sits at the top of the stability order? a does.